## KScSe2O8 (PBE)

Data for crystalline KScSe2O8 at its relaxed geometry.

Output
The calculation puts the density of states at the Fermi level at 0.000 states/eV/f.u. As for the total DFT energy (no corrections): -0.441 Ry per atom. As for the crystal system: trigonal.

Unit cell a=5.2856 b=5.2856 c=8.3435 alpha=90.00 beta=90.00 gamma=120.00
Space group P-3 (No. 147)
One atom of each set of equivalent atoms:
K1 0.0000 0.0000 0.0000
Sc1 0.0000 0.0000 0.5000
Se1 0.3333 0.6667 0.7215
O1 0.0657 0.3435 0.6538
O2 0.3333 0.6667 0.9184

=====

## KNa2Sn2I7 (PBE)

Data for crystalline KNa2Sn2I7 at its relaxed geometry.

Output
As for the total DFT energy (no corrections): -0.204 Ry per atom. As for the crystal system: orthorhombic.

Unit cell a=6.3853 b=25.6176 c=6.4794 alpha=90.00 beta=90.00 gamma=90.00
Space group Imm2 (No. 44)
One atom of each set of equivalent atoms:
K1 0.0000 0.0000 0.0000
Na1 0.0000 0.2520 0.6936
Sn1 0.0000 0.3770 0.1737
I1 0.0000 0.1224 0.7055
I2 0.0000 0.2532 0.1935
I3 0.0000 0.3793 0.7110
I4 0.0000 0.5000 0.2302

=====

## Pm2Pr3In2 (PBE)

Data for crystalline Pm2Pr3In2 at its relaxed geometry.

Output
The calculation puts the density of states at the Fermi level at 8.527 states/eV/f.u. The value obtained for the formation energy is -0.14 eV per atom. The polymorph energy (0 for the lowest one) is 32 meV/atom. As for the crystal system: monoclinic.

Unit cell a=17.3350 b=3.5931 c=8.1783 alpha=90.00 beta=118.09 gamma=90.00
Space group C2/m (No. 12)
One atom of each set of equivalent atoms:
Pm1 0.1248 0.0000 0.4729
Pr1 0.0000 0.0000 0.0000
Pr2 0.2110 0.0000 0.1329
In1 0.0688 0.5000 0.7427

=====

## Na2PuInF8 (PBE)

Data for crystalline Na2PuInF8 at its relaxed geometry.

Output
The calculation puts the density of states at the Fermi level at 10.292 states/eV/f.u. As for the total DFT energy (no corrections): -0.431 Ry per atom. As for the crystal system: orthorhombic.

Unit cell a=3.8385 b=5.5818 c=7.7153 alpha=90.00 beta=90.00 gamma=90.00
Space group Pmmm (No. 47)
One atom of each set of equivalent atoms:
Na1 0.0000 0.0000 0.2344
Pu1 0.5000 0.5000 0.5000
In1 0.5000 0.5000 0.0000
F1 0.0000 0.2543 0.5000
F2 0.0000 0.2779 0.0000
F3 0.5000 0.2699 0.2361

=====

## TcGeAsBr2 (PBE)

Data for crystalline TcGeAsBr2 at its relaxed geometry.

Output
The calculation puts the density of states at the Fermi level at 2.564 states/eV/f.u. The polymorph energy (0 for the lowest one) is 390 meV/atom. As for the crystal system: tetragonal.

Unit cell a=5.1365 b=5.1365 c=5.2987 alpha=90.00 beta=90.00 gamma=90.00
Space group P4/mmm (No. 123)
One atom of each set of equivalent atoms:
Tc1 0.0000 0.0000 0.0000
Ge1 0.5000 0.5000 0.5000
As1 0.5000 0.5000 0.0000
Br1 0.0000 0.5000 0.5000

=====

## Nd6Ag2Ru (PBE)

Data for crystalline Nd6Ag2Ru at its relaxed geometry.

Output
The calculation puts the density of states at the Fermi level at 9.721 states/eV/f.u. The value obtained for the formation energy is -0.14 eV per atom. As for the crystal system: monoclinic.

Unit cell a=6.6861 b=7.7880 c=12.2105 alpha=90.00 beta=119.80 gamma=90.00
Space group P2_1/c (No. 14)
One atom of each set of equivalent atoms:
Nd1 0.1229 0.1795 0.4493
Nd2 0.2895 0.6803 0.4379
Nd3 0.3752 0.0188 0.2468
Ag1 0.1744 0.1132 0.7461
Ru1 0.0000 0.0000 0.0000